## Pr4Mg2Ga (PBE)

Data for a relaxed Pr4Mg2Ga crystal.

Geometry as CIF:
```
data_Pr4Mg2Ga
_cell_length_a 5.384
_cell_length_b 5.384
_cell_length_c 9.235
_cell_angle_alpha 73.05
_cell_angle_beta 73.05
_cell_angle_gamma 60.00
_symmetry_space_group_name_H-M 'P 1'
_symmetry_Int_Tables_number 1
_symmetry_space_group_name_Hall 'P 1'
loop_
_atom_site_label
_atom_site_type_symbol
_atom_site_fract_x
_atom_site_fract_y
_atom_site_fract_z
Pr1 Pr 0.126 0.126 0.622
Mg1 Mg 0.747 0.747 0.759
Mg2 Mg 0.253 0.253 0.241
Pr2 Pr 0.622 0.622 0.134
Ga1 Ga 0.000 0.000 0.000
Pr3 Pr 0.378 0.378 0.866
Pr4 Pr 0.874 0.874 0.378
```

Properties
Spin magnetization: 0.00 μB per cell
V: 218 Å³/cell
E: -25.720 eV/cell
Formation energy: -0.0552 eV per atom